No. 1
First-principles (PBE) data for Sb2PPb after structural relaxation, as listed in Alexandria via LeMat-Bulk.

Values from the calculation:
excess energy over the best structure of this formula in the dataset = 226 meV/atom

Unit cell a=8.6541 b=8.6541 c=8.6541 alpha=138.75 beta=138.75 gamma=59.76
Positions (direct):
Sb 0.0603 0.6250 0.9353
Sb 0.3750 0.3103 0.4353
Sb 0.6897 0.1250 0.0647
Sb 0.8750 0.9397 0.5647
P 0.0000 0.0000 0.0000
P 0.7500 0.2500 0.5000
Pb 0.2500 0.7500 0.5000
Pb 0.5000 0.5000 0.0000


No. 2
First-principles (PBE) data for Sb2PPb after structural relaxation, as listed in Alexandria via LeMat-Bulk.

Values from the calculation:
excess energy over the best structure of this formula in the dataset = 341 meV/atom

Unit cell a=5.2457 b=5.2457 c=5.2457 alpha=60.00 beta=60.00 gamma=60.00
Positions (direct):
Sb 0.0000 0.0000 0.0000
Sb 0.2500 0.2500 0.2500
P 0.5000 0.5000 0.5000
Pb 0.7500 0.7500 0.7500


No. 3
First-principles (PBE) data for SbP2Pb after structural relaxation, as listed in Alexandria via LeMat-Bulk.

Values from the calculation:
excess energy over the best structure of this formula in the dataset = 83 meV/atom

Unit cell a=4.0143 b=5.5619 c=4.4309 alpha=90.00 beta=90.13 gamma=90.00
Positions (direct):
Sb 0.0000 0.0000 0.0000
P 0.0016 0.5000 0.9385
P 0.5013 0.0000 0.3886
Pb 0.5000 0.5000 0.5154


No. 4
First-principles (PBE) data for SbPPb3 after structural relaxation, as listed in Alexandria via LeMat-Bulk.

Values from the calculation:
excess energy over the best structure of this formula in the dataset = 19 meV/atom

Unit cell a=12.4598 b=7.1406 c=14.2898 alpha=90.00 beta=90.00 gamma=90.00
Positions (direct):
Sb 0.1554 0.2012 0.2500
Sb 0.1554 0.2988 0.7500
Sb 0.1581 0.7500 0.0000
Sb 0.1581 0.7500 0.5000
Sb 0.8419 0.2500 0.0000
Sb 0.8419 0.2500 0.5000
Sb 0.8446 0.7012 0.2500
Sb 0.8446 0.7988 0.7500
P 0.4145 0.0962 0.6187
P 0.4145 0.0962 0.8813
P 0.4145 0.4038 0.1187
P 0.4145 0.4038 0.3813
P 0.5855 0.5962 0.6187
P 0.5855 0.5962 0.8813
P 0.5855 0.9038 0.1187
P 0.5855 0.9038 0.3813
Pb 0.0098 0.0271 0.6228
Pb 0.0098 0.0271 0.8772
Pb 0.0098 0.4729 0.1228
Pb 0.0098 0.4729 0.3772
Pb 0.2564 0.2500 0.0000
Pb 0.2564 0.2500 0.5000
Pb 0.2831 0.5888 0.2500
Pb 0.2831 0.9112 0.7500
Pb 0.4143 0.0994 0.2500
Pb 0.4143 0.4006 0.7500
Pb 0.4256 0.7500 0.0000
Pb 0.4256 0.7500 0.5000
Pb 0.5744 0.2500 0.0000
Pb 0.5744 0.2500 0.5000
Pb 0.5857 0.5994 0.2500
Pb 0.5857 0.9006 0.7500
Pb 0.7169 0.0888 0.2500
Pb 0.7169 0.4112 0.7500
Pb 0.7436 0.7500 0.0000
Pb 0.7436 0.7500 0.5000
Pb 0.9902 0.5271 0.6228
Pb 0.9902 0.5271 0.8772
Pb 0.9902 0.9729 0.1228
Pb 0.9902 0.9729 0.3772


No. 5
First-principles (PBE) data for Sb3PPb after structural relaxation, as listed in Alexandria via LeMat-Bulk.

Values from the calculation:
excess energy over the best structure of this formula in the dataset = 0 meV/atom

Unit cell a=5.2744 b=5.2744 c=5.2744 alpha=90.00 beta=90.00 gamma=90.00
Positions (direct):
Sb 0.0000 0.0000 0.5000
Sb 0.0000 0.5000 0.0000
Sb 0.5000 0.0000 0.0000
P 0.0000 0.0000 0.0000
Pb 0.5000 0.5000 0.5000


No. 6
First-principles (PBE) data for SbP2Pb after structural relaxation, as listed in Alexandria via LeMat-Bulk.

Values from the calculation:
excess energy over the best structure of this formula in the dataset = 36 meV/atom

Unit cell a=3.3476 b=5.1428 c=6.9921 alpha=107.85 beta=90.20 gamma=108.10
Positions (direct):
Sb 0.0000 0.0000 0.0000
P 0.4437 0.8714 0.4471
P 0.8516 0.6810 0.2353
Pb 0.2666 0.5026 0.6825


No. 7
First-principles (PBE) data for Sb2PPb after structural relaxation, as listed in Alexandria via LeMat-Bulk.

Values from the calculation:
excess energy over the best structure of this formula in the dataset = 148 meV/atom

Unit cell a=3.4714 b=3.4714 c=8.8480 alpha=90.00 beta=90.00 gamma=90.00
Positions (direct):
Sb 0.0000 0.0000 0.0000
Sb 0.5000 0.5000 0.3263
P 0.0000 0.0000 0.4647
Pb 0.5000 0.5000 0.7338


No. 8
First-principles (PBE) data for Sb2PPb after structural relaxation, as listed in Alexandria via LeMat-Bulk.

Values from the calculation:
excess energy over the best structure of this formula in the dataset = 338 meV/atom

Unit cell a=6.2224 b=6.2224 c=3.2252 alpha=100.91 beta=100.91 gamma=118.00
Positions (direct):
Sb 0.0000 0.5000 0.0000
Sb 0.5000 0.0000 0.0000
P 0.0000 0.0000 0.5000
Pb 0.5000 0.5000 0.5000


The raw total energy results, record by record, are as follows: -4.033, -3.918, -4.514, -4.041, -3.875, -4.562, -4.111, -3.921 eV/atom.
The formation energy without anion corrections results, record by record, are as follows: 119, 163, 57, 44, 203, 39, 89, 162 kJ/mol of formula units.